# 1
# ScPaCo2P2

A relaxed structure of ScPaCo2P2 (PBE, Alexandria).

The uncorrected energy is -7.9162 eV per atom.

a b c (Å): 3.837 3.837 7.328
angles (deg): 90.00 90.00 120.00
Positions (direct):
Sc1 0.000 0.000 0.500
Pa1 0.000 0.000 0.000
Co1 0.667 0.333 0.232
Co2 0.333 0.667 0.768
P1 0.667 0.333 0.723
P2 0.333 0.667 0.277

***

# 2
# Sb2AuS2

A relaxed structure of Sb2AuS2 (PBE, Alexandria).

Its energy relative to the elements, uncorrected is -0.013 eV/atom.

a b c (Å): 8.096 8.096 3.798
angles (deg): 90.00 90.00 90.00
Positions (direct):
Sb1 0.284 0.784 0.000
Sb2 0.784 0.716 0.000
Sb3 0.716 0.216 0.000
Sb4 0.216 0.284 0.000
S1 0.138 0.638 0.500
S2 0.638 0.862 0.500
S3 0.862 0.362 0.500
S4 0.362 0.138 0.500
Au1 0.000 0.000 0.000
Au2 0.500 0.500 0.000

***

no.,calculated volume (Å³/f.u.),Fermi-level density of states (states/eV/atom)
1,93,0.54
2,124,0.32